Density functional theory data (PBE) for a relaxed structure of Tc3Hg.

a b c (Å): 9.373 2.867 4.879
angles (deg): 90.00 101.28 90.00
Space group C2/m (No. 12)
Inequivalent atoms, fractional coordinates:
Tc: 0.000 0.000 0.000 x2
Tc: 0.238 0.500 0.213 x4
Hg: 0.000 0.500 0.500 x2

Output
The energy of formation comes out at 165 kJ/mol of formula units. The calculation puts the calculated volume at 16.07 Å³/atom. The calculation puts the energy above the most stable polymorph in this dataset at 0.131 eV/atom.

=====

Density functional theory data (PBE) for a relaxed structure of PmSbRh.

a b c (Å): 7.369 4.629 7.901
angles (deg): 90.00 90.00 90.00
Space group Pnma (No. 62)
Inequivalent atoms, fractional coordinates:
Pm: 0.012 0.250 0.199 x4
Sb: 0.189 0.250 0.590 x4
Rh: 0.195 0.750 0.416 x4

Output
The calculation puts the calculated volume at 22.46 Å³/atom. Its raw formation energy is -1.00 eV per atom. The calculation puts the energy above the most stable polymorph in this dataset at 0.000 eV/atom.